The following is a PBE+U calculation of a geometry-optimized SrCr2SiO6 structure, from Alexandria via LeMat-Bulk.

Lattice parameters (Å, degrees): 5.5646 5.5646 5.5646 55.68 55.68 55.68
Closest atoms and distances in Å follow each position.
Element x y z (fractional)
Sr1 0.0000 0.0000 0.0000  3 O 2.32
Cr1 0.2633 0.2633 0.2633  6 O 2.05-2.08
Cr2 0.7770 0.7770 0.7770  6 O 1.97-2.12
Si1 0.4595 0.4595 0.4595  6 O 1.83-1.86
O1 0.0771 0.5915 0.4532  1 Si 1.83, 1 Cr 1.97
O2 0.2110 0.5167 0.8391  1 Si 1.86, 1 Cr 2.05
O3 0.4532 0.0771 0.5915  1 Si 1.83, 1 Cr 1.97
O4 0.5167 0.8391 0.2110  1 Si 1.86, 1 Cr 2.05
O5 0.5915 0.4532 0.0771  1 Si 1.83, 1 Cr 1.97
O6 0.8391 0.2110 0.5167  1 Si 1.86, 1 Cr 2.05

## Properties
**Uncorrected energy**: -74.271 eV per cell
**DOS(E_F)**: 0.00 states/eV/atom